Below is a relaxed Ba2LiY2Fe4O10 crystal, with properties calculated at the PBE with a Hubbard U level.

a = 3.911 Å, b = 8.172 Å, c = 8.398 Å
α = 90.00°, β = 90.00°, γ = 90.00°
Last column: magnetic moment on the atom in μB.
Fractional coordinates of all 19 atoms:
Ba 0.000 0.266 0.926  0.00
Ba 0.000 0.734 0.926  0.00
Li 0.000 0.000 0.140  0.00
Y 0.000 0.734 0.475  0.00
Y 0.000 0.266 0.475  0.00
Fe 0.500 0.500 0.244  4.29
Fe 0.500 0.000 0.700  3.78
Fe 0.500 0.500 0.680  3.76
Fe 0.500 0.000 0.301  3.71
O 0.500 0.270 0.330  0.12
O 0.500 0.251 0.670  0.10
O 0.500 0.730 0.330  0.12
O 0.500 0.749 0.670  0.10
O 0.000 0.000 0.376  0.05
O 0.000 0.500 0.664  0.10
O 0.000 0.500 0.317  0.16
O 0.000 0.000 0.743  0.10
O 0.500 0.500 0.016  0.16
O 0.500 0.000 0.065  0.07

Properties
- Space-group type: Pmm2, No. 25
- Magnetization: 0.895 μB per atom
- Excess energy over the best structure of this formula in the dataset: 58 meV/atom
- E_tot: -6.911 eV/atom